Entry 1:
Ca2Tl3CdO8: relaxed, PBE-GGA.

Calculated values
spin magnetization: 1.1 μB/f.u.
energy: -4.996 eV per atom
energy relative to the elements, uncorrected: -1305 meV/atom
DOS at the Fermi energy: 0.630 states/eV/atom

Cell lengths 6.8111, 6.8111, 6.8111 Å; angles 60.27, 60.27, 60.27 degrees
Last column: nearest neighbours and their distance in Å.
Element x y z (fractional)
Ca: 0.0000 0.0000 0.0000  6 O 2.35-2.37
Ca: 0.3797 0.3797 0.3797  4 O 2.25-2.31
Tl: 0.9997 0.9997 0.4968  6 O 2.27-2.36
Tl: 0.9997 0.4968 0.9997  6 O 2.27-2.36
Tl: 0.4968 0.9997 0.9997  6 O 2.27-2.36
Cd: 0.6169 0.6169 0.6169  4 O 2.24-2.30
O: 0.2164 0.7551 0.7551  1 Cd 2.24, 2 Tl 2.30, 1 Ca 2.37
O: 0.2411 0.2411 0.2411  1 Ca 2.31, 3 Tl 2.33
O: 0.2429 0.2429 0.7835  2 Ca 2.25-2.35, 2 Tl 2.27
O: 0.2429 0.7835 0.2429  2 Ca 2.25-2.35, 2 Tl 2.27
O: 0.7551 0.2164 0.7551  1 Cd 2.24, 2 Tl 2.30, 1 Ca 2.37
O: 0.7551 0.7551 0.2164  1 Cd 2.24, 2 Tl 2.30, 1 Ca 2.37
O: 0.7552 0.7552 0.7552  1 Cd 2.30, 3 Tl 2.36
O: 0.7835 0.2429 0.2429  2 Ca 2.25-2.35, 2 Tl 2.27

***

Entry 2:
CaTl2CdO: relaxed, PBE-GGA.

Calculated values
spin magnetization: 0.0 μB/f.u.
energy: -3.253 eV per atom
energy relative to the elements, uncorrected: -731 meV/atom
DOS at the Fermi energy: 0.441 states/eV/atom

Cell lengths 5.4393, 5.4393, 4.3735 Å; angles 90.00, 90.00, 90.00 degrees
Last column: nearest neighbours and their distance in Å.
Element x y z (fractional)
Ca: 0.0000 0.0000 0.0000  2 O 2.19
Tl: 0.0000 0.5000 0.5000  2 O 2.72
Tl: 0.5000 0.0000 0.5000  2 O 2.72
Cd: 0.5000 0.5000 0.0000  8 Tl 3.49, 4 Ca 3.85
O: 0.0000 0.0000 0.5000  2 Ca 2.19

***

Entry 3:
Ca2TlCdO4: relaxed, PBE-GGA.

Calculated values
spin magnetization: 0.0 μB/f.u.
energy: -5.205 eV per atom
energy relative to the elements, uncorrected: -1815 meV/atom
DOS at the Fermi energy: 0.406 states/eV/atom

Cell lengths 6.9306, 6.9306, 6.9306 Å; angles 120.18, 119.71, 90.09 degrees
Last column: nearest neighbours and their distance in Å.
Element x y z (fractional)
Ca: 0.0000 0.0000 0.0000  6 O 2.43
Ca: 0.5000 0.0000 0.0000  6 O 2.38
Ca: 0.5000 0.0000 0.5000  6 O 2.43
Ca: 0.5000 0.5000 0.5000  6 O 2.38
Tl: 0.0000 0.0000 0.5000  6 O 2.52-2.53
Tl: 0.0000 0.5000 0.0000  6 O 2.52-2.53
Cd: 0.0000 0.5000 0.5000  6 O 2.47
Cd: 0.5000 0.5000 0.0000  6 O 2.47
O: 0.2573 0.2532 0.4959  3 Ca 2.38-2.43, 2 Cd 2.47, 1 Tl 2.52
O: 0.2573 0.7615 0.0041  3 Ca 2.38-2.43, 2 Cd 2.47, 1 Tl 2.52
O: 0.2632 0.2481 0.0151  3 Ca 2.38-2.43, 1 Cd 2.47, 2 Tl 2.53
O: 0.2670 0.7519 0.5151  3 Ca 2.38-2.43, 1 Cd 2.47, 2 Tl 2.53
O: 0.7330 0.2481 0.4849  3 Ca 2.38-2.43, 1 Cd 2.47, 2 Tl 2.53
O: 0.7368 0.7519 0.9849  3 Ca 2.38-2.43, 1 Cd 2.47, 2 Tl 2.53
O: 0.7427 0.2385 0.9959  3 Ca 2.38-2.43, 2 Cd 2.47, 1 Tl 2.52
O: 0.7427 0.7468 0.5041  3 Ca 2.38-2.43, 2 Cd 2.47, 1 Tl 2.52

***

| no. | theoretical density (kg/m3) |
| --- | --- |
| 1 | 6897 |
| 2 | 7408 |
| 3 | 6498 |